(1)
# Cs2BaSb2

Cs2BaSb2 after structural relaxation (GGA-PBE, Alexandria).

a b c (Å): 5.203 5.203 16.716
angles (deg): 90.00 90.00 90.00
Space group I4/mmm (No. 139)
Inequivalent atoms, fractional coordinates:
Cs (0.000, 0.500, 0.250)
Ba (0.000, 0.000, 0.000)
Sb (0.000, 0.000, 0.415)

Output
E   -28.1 eV per cell
Mass density   4.75 Mg/m³
E_form (uncorrected)   -434 meV per atom
Size of the total moment   0.00 μB per formula unit

***

(2)
# PdPtF4

PdPtF4 after structural relaxation (GGA-PBE, Alexandria).

a b c (Å): 7.066 5.855 8.925
angles (deg): 90.00 102.61 90.00
Space group C2/c (No. 15)
Inequivalent atoms, fractional coordinates:
Pd (0.250, 0.250, 0.000)
Pt (0.000, 0.215, 0.250)
F (0.030, 0.228, 0.479)
F (0.228, 0.067, 0.795)

Output
Relative energy among the computed polymorphs   64.8 meV per atom
E   -94.8 eV per cell
Mass density   6.96 Mg/m³
E_form (uncorrected)   -832 meV per atom
Size of the total moment   0.00 μB per formula unit

***

(3)
# Hf2BiI

Hf2BiI after structural relaxation (GGA-PBE, Alexandria).

a b c (Å): 7.208 7.208 7.208
angles (deg): 90.00 90.00 90.00
Space group Fm-3m (No. 225)
Inequivalent atoms, fractional coordinates:
Hf (0.250, 0.250, 0.250)
Bi (0.000, 0.000, 0.000)
I (0.000, 0.000, 0.500)

Output
Relative energy among the computed polymorphs   0.0 meV per atom
E   -101.1 eV per cell
Mass density   12.29 Mg/m³
E_form (uncorrected)   18 meV per atom
Size of the total moment   0.00 μB per formula unit

***

(4)
# AcY3Er3

AcY3Er3 after structural relaxation (GGA-PBE, Alexandria).

a b c (Å): 16.320 15.821 7.529
angles (deg): 90.00 92.57 90.00
Space group Cm (No. 8)
Inequivalent atoms, fractional coordinates:
Ac (0.000, 0.000, 0.000)
Ac (0.198, 0.000, 0.294)
Ac (0.410, 0.129, 0.248)
Y (0.034, 0.500, 0.977)
Y (0.043, 0.241, 0.994)
Y (0.125, 0.385, 0.689)
Y (0.175, 0.100, 0.773)
Y (0.245, 0.234, 0.470)
Y (0.289, 0.500, 0.511)
Y (0.382, 0.360, 0.247)
Er (0.005, 0.000, 0.529)
Er (0.041, 0.215, 0.487)
Er (0.145, 0.390, 0.258)
Er (0.251, 0.262, 0.983)
Er (0.263, 0.500, 0.970)
Er (0.387, 0.345, 0.736)
Er (0.398, 0.127, 0.734)

Output
E   -288.3 eV per cell
Mass density   6.81 Mg/m³
Formation energy   0.16 eV/atom
Size of the total moment   0.00 μB per formula unit